1.
A geometry-optimized La3RuAu structure. Source: Alexandria via LeMat-Bulk, functional PBE-GGA.

The space group is P-1 (No. 2) and the conventional cell measures 6.212, 6.596 and 8.200 Å, with angles of 72.72, 84.11 and 65.16 degrees. The inequivalent atoms are La at (0.052, 0.154, 0.145), La at (0.304, 0.204, 0.673), La at (0.395, 0.472, 0.219), Ru at (0.401, 0.863, 0.965) and Au at (0.181, 0.763, 0.497).

The energy above the most stable polymorph in this dataset is 16.3 meV per atom. The value obtained for the formation energy is -471 meV per atom.

2.
A geometry-optimized RbMgHg structure. Source: Alexandria via LeMat-Bulk, functional PBE-GGA.

The space group is P4/nmm (No. 129, origin choice 2) and the conventional cell measures 4.992, 4.992 and 8.702 Å, with angles of 90.00, 90.00 and 90.00 degrees. The inequivalent atoms are Rb at (0.250, 0.250, 0.147), Mg at (0.250, 0.750, 0.500) and Hg at (0.250, 0.250, 0.679).

The energy above the most stable polymorph in this dataset is 0.0 meV per atom. The value obtained for the formation energy is -151 meV per atom.

3.
A geometry-optimized DyHoCoGe structure. Source: Alexandria via LeMat-Bulk, functional PBE-GGA.

The space group is F-43m (No. 216) and the conventional cell measures 6.925, 6.925 and 6.925 Å, with angles of 90.00, 90.00 and 90.00 degrees. The inequivalent atoms are Dy at (0.000, 0.000, 0.000), Ho at (0.000, 0.000, 0.500), Co at (0.250, 0.250, 0.750) and Ge at (0.250, 0.250, 0.250).

The value obtained for the formation energy is -404 meV per atom.

Q: formation energy of number 2 (RbMgHg)?
A: -151 meV per atom